# Tb4Mg3Ag (PBE, relaxed)
# ΔE_f	-0.138	eV per atom
# space group	P4/mmm (123)
# total energy	-0.250	Ry per atom
data_Tb4Mg3Ag
_cell_length_a 3.7607
_cell_length_b 3.7607
_cell_length_c 14.9964
_cell_angle_alpha 90.00
_cell_angle_beta 90.00
_cell_angle_gamma 90.00
_symmetry_space_group_name_H-M 'P 1'
_symmetry_Int_Tables_number 1
_symmetry_space_group_name_Hall 'P 1'
loop_
_atom_site_label
_atom_site_type_symbol
_atom_site_fract_x
_atom_site_fract_y
_atom_site_fract_z
Tb1 Tb 0.0000 0.0000 0.1177
Tb2 Tb 0.0000 0.0000 0.3717
Tb3 Tb 0.0000 0.0000 0.6283
Tb4 Tb 0.0000 0.0000 0.8823
Mg1 Mg 0.5000 0.5000 0.2471
Mg2 Mg 0.5000 0.5000 0.5000
Mg3 Mg 0.5000 0.5000 0.7529
Ag1 Ag 0.5000 0.5000 0.0000